## Sn4SbPd2 (PBE-GGA)

Data for an optimized crystal structure of Sn4SbPd2.

Results
The calculated volume is 24.77 A^3/atom. Its space group is R-3m, No. 166. The calculation puts the uncorrected energy at -4.64 eV per atom. Its density of states at the Fermi level is 3.960 states/eV per cell.

extended XYZ file:
```
7
Lattice="2.2914 1.3229 9.5334 -2.2914 1.3229 9.5334 0.0000 -2.6459 9.5334" Properties=species:S:1:pos:R:3 pbc="T T T"
Sn 0.0000 0.0000 3.0030
Sn 0.0000 0.0000 8.5757
Sn 0.0000 0.0000 20.0246
Sn 0.0000 0.0000 25.5973
Sb 0.0000 0.0000 14.3001
Pd 0.0000 0.0000 11.3705
Pd 0.0000 0.0000 17.2298
```


## Sn3SbPd (PBE-GGA)

Data for an optimized crystal structure of Sn3SbPd.

Results
The calculated volume is 27.29 A^3/atom. Its space group is C2/m, No. 12. The calculation puts the uncorrected energy at -4.37 eV per atom. Its density of states at the Fermi level is 4.840 states/eV per cell. The energy above the most stable polymorph in this dataset is 0.11 eV/f.u.

extended XYZ file:
```
10
Lattice="5.9959 -2.5439 0.0000 5.9959 2.5439 0.0000 -0.6208 0.0000 8.9461" Properties=species:S:1:pos:R:3 pbc="T T T"
Sn 0.7700 0.0000 1.3348
Sn 4.2106 0.0000 4.5325
Sn 4.6012 0.0000 1.0197
Sn 6.7697 0.0000 7.9264
Sn 7.1603 0.0000 4.4136
Sn 10.6010 0.0000 7.6113
Sb 1.4561 0.0000 6.0754
Sb 9.9148 0.0000 2.8707
Pd 3.9244 0.0000 7.2248
Pd 7.4466 0.0000 1.7213
```